(A)
Entry from Alexandria via LeMat-Bulk: a relaxed Nd2AlCo crystal (PBE-GGA).

a = 3.381 Å, b = 3.381 Å, c = 30.299 Å
α = 90.00°, β = 90.00°, γ = 120.00°
Sites, in units of the cell vectors:
Nd 0.000 0.000 0.084
Nd 0.000 0.000 0.916
Nd 0.333 0.667 0.583
Nd 0.333 0.667 0.751
Nd 0.667 0.333 0.249
Nd 0.667 0.333 0.417
Al 0.000 0.000 0.500
Al 0.333 0.667 0.167
Al 0.667 0.333 0.833
Co 0.000 0.000 0.000
Co 0.333 0.667 0.667
Co 0.667 0.333 0.333

Calculated values
Spin magnetization (μB/f.u.): 0.76

---

(B)
Entry from Alexandria via LeMat-Bulk: a relaxed Nd2AlCo crystal (PBE-GGA).

a = 3.574 Å, b = 3.574 Å, c = 7.393 Å
α = 90.00°, β = 90.00°, γ = 90.00°
Sites, in units of the cell vectors:
Nd 0.000 0.000 0.228
Nd 0.000 0.000 0.772
Al 0.500 0.500 0.500
Co 0.500 0.500 0.000

Calculated values
Spin magnetization (μB/f.u.): 0.69

---

Order of stability, best first: (B), (A)

---

(A)
Entry from Alexandria via LeMat-Bulk: a relaxed NdAl3Co crystal (PBE-GGA).

a = 8.276 Å, b = 4.096 Å, c = 10.829 Å
α = 90.00°, β = 90.00°, γ = 90.00°
Sites, in units of the cell vectors:
Nd 0.188 0.250 0.010
Nd 0.312 0.750 0.510
Nd 0.688 0.250 0.490
Nd 0.812 0.750 0.990
Al 0.050 0.250 0.581
Al 0.115 0.750 0.776
Al 0.145 0.750 0.227
Al 0.355 0.250 0.727
Al 0.385 0.250 0.276
Al 0.450 0.750 0.081
Al 0.550 0.250 0.919
Al 0.615 0.750 0.724
Al 0.645 0.750 0.273
Al 0.855 0.250 0.773
Al 0.885 0.250 0.224
Al 0.950 0.750 0.419
Co 0.111 0.250 0.356
Co 0.389 0.750 0.856
Co 0.611 0.250 0.144
Co 0.889 0.750 0.644

Calculated values
Spin magnetization (μB/f.u.): 0.00

---

(B)
Entry from Alexandria via LeMat-Bulk: a relaxed NdAl3Co crystal (PBE-GGA).

a = 4.553 Å, b = 4.553 Å, c = 4.553 Å
α = 90.00°, β = 90.00°, γ = 90.00°
Sites, in units of the cell vectors:
Nd 0.000 0.000 0.000
Al 0.000 0.500 0.500
Al 0.500 0.000 0.500
Al 0.500 0.500 0.000
Co 0.500 0.500 0.500

Calculated values
Spin magnetization (μB/f.u.): 0.01

---

Order of stability, best first: (A), (B)

---

(A)
Entry from Alexandria via LeMat-Bulk: a relaxed Nd3AlCo crystal (PBE-GGA).

a = 8.145 Å, b = 8.145 Å, c = 8.849 Å
α = 92.57°, β = 92.57°, γ = 27.07°
Sites, in units of the cell vectors:
Nd 0.000 0.000 0.000
Nd 0.152 0.152 0.357
Nd 0.361 0.361 0.246
Nd 0.514 0.514 0.604
Nd 0.702 0.702 0.021
Nd 0.812 0.812 0.582
Al 0.172 0.172 0.734
Al 0.342 0.342 0.869
Co 0.537 0.537 0.247
Co 0.976 0.976 0.358

Calculated values
Spin magnetization (μB/f.u.): 0.00

---

(B)
Entry from Alexandria via LeMat-Bulk: a relaxed Nd3AlCo crystal (PBE-GGA).

a = 5.240 Å, b = 5.240 Å, c = 5.240 Å
α = 90.00°, β = 90.00°, γ = 90.00°
Sites, in units of the cell vectors:
Nd 0.000 0.000 0.500
Nd 0.000 0.500 0.000
Nd 0.500 0.000 0.000
Al 0.500 0.500 0.500
Co 0.000 0.000 0.000

Calculated values
Spin magnetization (μB/f.u.): 0.00

---

Order of stability, best first: (A), (B)

---

(A)
Entry from Alexandria via LeMat-Bulk: a relaxed AlCoNi crystal (PBE-GGA).

a = 3.983 Å, b = 3.983 Å, c = 2.569 Å
α = 90.00°, β = 90.00°, γ = 120.00°
Sites, in units of the cell vectors:
Al 0.000 0.000 0.000
Co 0.667 0.333 0.338
Ni 0.333 0.667 0.706

Calculated values
Spin magnetization (μB/f.u.): 1.29

---

(B)
Entry from Alexandria via LeMat-Bulk: a relaxed AlCoNi crystal (PBE-GGA).

a = 2.759 Å, b = 2.759 Å, c = 9.139 Å
α = 90.00°, β = 90.00°, γ = 90.00°
Sites, in units of the cell vectors:
Al 0.000 0.000 0.000
Al 0.500 0.500 0.500
Co 0.000 0.000 0.664
Co 0.500 0.500 0.164
Ni 0.000 0.000 0.334
Ni 0.500 0.500 0.834

Calculated values
Spin magnetization (μB/f.u.): 1.00

---

Order of stability, best first: (B), (A)